! Tl3AsAu8 | the Alexandria database | PBE-GGA | optimized geometry; values from VASP
&SYSTEM
  ibrav = 0, nat = 12, ntyp = 3
/
ATOMIC_SPECIES
Tl 204.38 Tl.upf
As 74.92 As.upf
Au 196.97 Au.upf
ATOMIC_POSITIONS angstrom
Tl 0.000 0.000 0.000
Tl 0.000 0.000 3.592
Tl 0.000 0.000 16.497
As 0.000 0.000 12.541
Au -1.521 -0.878 10.626
Au 0.000 -1.704 6.194
Au -1.476 0.852 6.194
Au 0.000 0.000 8.415
Au 1.521 -0.878 10.626
Au 0.000 1.756 10.626
Au 1.476 0.852 6.194
Au 0.000 0.000 22.110
CELL_PARAMETERS angstrom
2.918 1.685 9.091
-2.918 1.685 9.091
0.000 -3.370 9.091
! Volume   22.35 Å³ per atom

! Tl6As3Au | the Alexandria database | PBE-GGA | optimized geometry; values from VASP
&SYSTEM
  ibrav = 0, nat = 20, ntyp = 3
/
ATOMIC_SPECIES
Tl 204.38 Tl.upf
As 74.92 As.upf
Au 196.97 Au.upf
ATOMIC_POSITIONS angstrom
Tl -0.731 0.343 1.983
Tl -5.119 2.082 8.562
Tl -0.262 2.724 4.514
Tl -4.650 4.553 11.093
Tl 2.193 3.453 2.026
Tl -2.195 3.824 8.605
Tl 2.661 1.027 4.553
Tl -1.727 1.399 11.132
Tl 5.116 0.298 2.065
Tl 0.728 2.128 8.644
Tl 5.585 2.769 4.596
Tl 1.197 4.508 11.175
As -4.388 0.000 6.579
As 0.000 2.426 0.000
As 2.452 1.114 0.137
As -1.936 1.311 6.716
As 2.402 3.540 6.442
As -1.986 3.737 13.021
Au 0.233 0.000 6.579
Au 4.621 2.426 0.000
CELL_PARAMETERS angstrom
9.242 0.000 0.000
0.000 4.851 0.000
-8.775 0.000 13.158
! Volume   29.50 Å³ per atom

! TlAsAu | the Alexandria database | PBE-GGA | optimized geometry; values from VASP
&SYSTEM
  ibrav = 0, nat = 6, ntyp = 3
/
ATOMIC_SPECIES
Tl 204.38 Tl.upf
As 74.92 As.upf
Au 196.97 Au.upf
ATOMIC_POSITIONS angstrom
Tl 0.294 0.000 1.874
Tl 7.496 0.000 3.039
As 4.397 0.000 1.306
As 3.393 0.000 3.607
Au 2.714 1.428 0.000
Au 2.714 -1.428 0.000
CELL_PARAMETERS angstrom
5.428 -2.856 0.000
5.428 2.856 0.000
-3.067 0.000 4.913
! Volume   25.39 Å³ per atom
! E above lowest polymorph   0 meV/atom

| no. | DFT formation energy (eV per atom) |
| --- | --- |
| 1 | 0.0607 |
| 2 | 0.0328 |
| 3 | -0.0602 |